Record 1
Density functional theory data (PBE) for DyYC2Br2 after structural relaxation.

a = 7.0512 Å, b = 3.7894 Å, c = 10.9810 Å
α = 90.00°, β = 94.60°, γ = 90.00°
Space group Cm (No. 8)
Symmetry-distinct sites (fractional):
Dy1 0.0000 0.0000 0.0000
Y1 0.2106 0.5000 0.7359
C1 0.2812 0.0000 0.9023
C2 0.4300 0.0000 0.8347
Br1 0.0324 0.0000 0.5636
Br2 0.1774 0.5000 0.1716

Calculated values
Its crystal system is monoclinic. The value obtained for the total energy is -6.55 eV/atom.

Record 2
Density functional theory data (PBE) for GdErCBr2 after structural relaxation.

a = 3.7660 Å, b = 3.7660 Å, c = 10.5592 Å
α = 90.00°, β = 90.00°, γ = 120.00°
Space group P3m1 (No. 156)
Symmetry-distinct sites (fractional):
Gd1 0.0000 0.0000 0.0000
Er1 0.3333 0.6667 0.2539
C1 0.6667 0.3333 0.1298
Br1 0.0000 0.0000 0.4337
Br2 0.3333 0.6667 0.8130

Calculated values
Its crystal system is trigonal. The value obtained for the total energy is -5.64 eV/atom.

Record 3
Density functional theory data (PBE) for GdErC2Br2 after structural relaxation.

a = 7.0545 Å, b = 3.7843 Å, c = 10.9692 Å
α = 90.00°, β = 94.66°, γ = 90.00°
Space group Cm (No. 8)
Symmetry-distinct sites (fractional):
Gd1 0.0000 0.0000 0.0000
Er1 0.2898 0.0000 0.2639
C1 0.0698 0.5000 0.1697
C2 0.2198 0.5000 0.1025
Br1 0.3204 0.0000 0.8254
Br2 0.4654 0.5000 0.4336

Calculated values
Its crystal system is monoclinic. The value obtained for the total energy is -6.24 eV/atom.

Record 4
Density functional theory data (PBE) for ErHfCBr2 after structural relaxation.

a = 3.5566 Å, b = 3.5566 Å, c = 10.4693 Å
α = 90.00°, β = 90.00°, γ = 120.00°
Space group P3m1 (No. 156)
Symmetry-distinct sites (fractional):
Er1 0.0000 0.0000 0.0000
Hf1 0.3333 0.6667 0.7610
C1 0.6667 0.3333 0.8633
Br1 0.0000 0.0000 0.5784
Br2 0.3333 0.6667 0.1884

Calculated values
Its crystal system is trigonal. The value obtained for the total energy is -6.67 eV/atom.

Record 5
Density functional theory data (PBE) for HoErC2Br2 after structural relaxation.

a = 6.9875 Å, b = 3.7487 Å, c = 10.9159 Å
α = 90.00°, β = 94.81°, γ = 90.00°
Space group Cm (No. 8)
Symmetry-distinct sites (fractional):
Ho1 0.0000 0.0000 0.0000
Er1 0.2102 0.5000 0.7373
C1 0.2797 0.0000 0.9018
C2 0.4304 0.0000 0.8336
Br1 0.0334 0.0000 0.5655
Br2 0.1778 0.5000 0.1730

Calculated values
Its crystal system is monoclinic. The value obtained for the total energy is -6.23 eV/atom.

Record 6
Density functional theory data (PBE) for HoErCBr2 after structural relaxation.

a = 3.7312 Å, b = 3.7312 Å, c = 10.4844 Å
α = 90.00°, β = 90.00°, γ = 120.00°
Space group P3m1 (No. 156)
Symmetry-distinct sites (fractional):
Ho1 0.0000 0.0000 0.0000
Er1 0.3333 0.6667 0.2519
C1 0.6667 0.3333 0.1266
Br1 0.0000 0.0000 0.4350
Br2 0.3333 0.6667 0.8154

Calculated values
Its crystal system is trigonal. The value obtained for the total energy is -5.65 eV/atom.

Record 7
Density functional theory data (PBE) for Er4CI2Br3 after structural relaxation.

a = 18.3995 Å, b = 3.8276 Å, c = 8.1218 Å
α = 90.00°, β = 102.18°, γ = 90.00°
Space group C2/m (No. 12)
Symmetry-distinct sites (fractional):
Er1 0.0007 0.0000 0.3018
Er2 0.1320 0.5000 0.5692
C1 0.0000 0.5000 0.5000
I1 0.1706 0.0000 0.3101
Br1 0.0000 0.5000 0.0000
Br2 0.1569 0.0000 0.8329

Calculated values
Its crystal system is monoclinic. The value obtained for the total energy is -4.83 eV/atom.

Record 8
Density functional theory data (PBE) for Er4CIBr4 after structural relaxation.

a = 17.6071 Å, b = 3.8218 Å, c = 8.3991 Å
α = 90.00°, β = 103.53°, γ = 90.00°
Space group C2/m (No. 12)
Symmetry-distinct sites (fractional):
Er1 0.9995 0.0000 0.1901
Er2 0.1383 0.5000 0.0709
C1 0.0000 0.5000 0.0000
I1 0.0000 0.5000 0.5000
Br1 0.1655 0.0000 0.3264
Br2 0.1702 0.0000 0.8397

Calculated values
Its crystal system is monoclinic. The value obtained for the total energy is -4.91 eV/atom.

Record 9
Density functional theory data (PBE) for Nd2Er2CIBr4 after structural relaxation.

a = 18.0162 Å, b = 3.9385 Å, c = 8.8366 Å
α = 90.00°, β = 103.30°, γ = 90.00°
Space group C2/m (No. 12)
Symmetry-distinct sites (fractional):
Nd1 0.9995 0.0000 0.1949
Er1 0.1361 0.5000 0.0671
C1 0.0000 0.5000 0.0000
I1 0.0000 0.5000 0.5000
Br1 0.1703 0.0000 0.3053
Br2 0.1735 0.0000 0.8585

Calculated values
Its crystal system is monoclinic. The value obtained for the total energy is -4.97 eV/atom.

Record 10
Density functional theory data (PBE) for Er2Sc2CI2Br3 after structural relaxation.

a = 19.8217 Å, b = 3.7561 Å, c = 8.0217 Å
α = 90.00°, β = 101.42°, γ = 90.00°
Space group C2/m (No. 12)
Symmetry-distinct sites (fractional):
Er1 0.0009 0.0000 0.2016
Sc1 0.1147 0.5000 0.0503
C1 0.0000 0.5000 0.0000
I1 0.1586 0.0000 0.3279
Br1 0.0000 0.5000 0.5000
Br2 0.1470 0.0000 0.8290

Calculated values
Its crystal system is monoclinic. The value obtained for the total energy is -5.18 eV/atom.

Record 11
Density functional theory data (PBE) for Pr2Er2CBr5 after structural relaxation.

a = 18.3586 Å, b = 3.9079 Å, c = 8.5435 Å
α = 90.00°, β = 102.49°, γ = 90.00°
Space group C2/m (No. 12)
Symmetry-distinct sites (fractional):
Pr1 0.0012 0.0000 0.2936
Er1 0.1326 0.5000 0.5659
C1 0.0000 0.5000 0.5000
Br1 0.0000 0.5000 0.0000
Br2 0.1672 0.0000 0.8124
Br3 0.1721 0.0000 0.3520

Calculated values
Its crystal system is monoclinic. The value obtained for the total energy is -5.04 eV/atom.

Record 12
Density functional theory data (PBE) for Er2Tm2CBr5 after structural relaxation.

a = 17.6666 Å, b = 3.7602 Å, c = 8.0416 Å
α = 90.00°, β = 102.79°, γ = 90.00°
Space group C2/m (No. 12)
Symmetry-distinct sites (fractional):
Er1 0.0010 0.0000 0.3002
Tm1 0.1365 0.5000 0.5708
C1 0.0000 0.5000 0.5000
Br1 0.0000 0.5000 0.0000
Br2 0.1639 0.0000 0.8371
Br3 0.1704 0.0000 0.3314

Calculated values
Its crystal system is monoclinic. The value obtained for the total energy is -4.97 eV/atom.